[1]
# Ti2TlAg (GGA-PBE, relaxed)
data_Ti2TlAg
_chemical_formula_sum 'Ti2 Tl1 Ag1'
_cell_length_a 3.001
_cell_length_b 3.001
_cell_length_c 8.261
_cell_angle_alpha 90.00
_cell_angle_beta 90.00
_cell_angle_gamma 90.00
_symmetry_space_group_name_H-M 'P 4/m m m'
_symmetry_Int_Tables_number 123
_symmetry_space_group_name_Hall '-P 4 2'
loop_
_atom_site_label
_atom_site_type_symbol
_atom_site_fract_x
_atom_site_fract_y
_atom_site_fract_z
_atom_site_occupancy
Ti1 Ti 0.000 0.000 0.237 1
Tl1 Tl 0.500 0.500 0.500 1
Ag1 Ag 0.500 0.500 0.000 1
# Theoretical density: 9.11 g/cm3
# Raw total energy: -5.1149 eV/atom

[2]
# TiTlAg (GGA-PBE, relaxed)
data_TiTlAg
_chemical_formula_sum 'Ti2 Tl2 Ag2'
_cell_length_a 4.776
_cell_length_b 3.084
_cell_length_c 8.177
_cell_angle_alpha 90.00
_cell_angle_beta 95.42
_cell_angle_gamma 90.00
_symmetry_space_group_name_H-M 'P 1 21/m 1'
_symmetry_Int_Tables_number 11
loop_
_symmetry_equiv_pos_as_xyz
'x,y,z'
'-x,-y,-z'
'-x,y+1/2,-z'
'x,-y+1/2,z'
loop_
_atom_site_label
_atom_site_type_symbol
_atom_site_fract_x
_atom_site_fract_y
_atom_site_fract_z
_atom_site_occupancy
Ti1 Ti 0.179 0.250 0.109 1
Tl1 Tl 0.302 0.250 0.772 1
Ag1 Ag 0.236 0.750 0.438 1
# Theoretical density: 9.97 g/cm3
# Raw total energy: -4.2412 eV/atom

[3]
# TiTlAg (GGA-PBE, relaxed)
data_TiTlAg
_chemical_formula_sum 'Ti4 Tl4 Ag4'
_cell_length_a 12.518
_cell_length_b 3.113
_cell_length_c 6.475
_cell_angle_alpha 90.00
_cell_angle_beta 106.80
_cell_angle_gamma 90.00
_symmetry_space_group_name_H-M 'C 1 m 1'
_symmetry_Int_Tables_number 8
loop_
_symmetry_equiv_pos_as_xyz
'x,y,z'
'x,-y,z'
'x+1/2,y+1/2,z'
'x+1/2,-y+1/2,z'
loop_
_atom_site_label
_atom_site_type_symbol
_atom_site_fract_x
_atom_site_fract_y
_atom_site_fract_z
_atom_site_occupancy
Ti1 Ti 0.000 0.000 0.000 1
Ti2 Ti 0.150 0.500 0.867 1
Tl1 Tl 0.142 0.500 0.373 1
Tl2 Tl 0.335 0.000 0.173 1
Ag1 Ag 0.317 0.000 0.702 1
Ag2 Ag 0.476 0.500 0.554 1
# Theoretical density: 9.90 g/cm3
# Raw total energy: -4.2064 eV/atom

[4]
# TiTlAg (GGA-PBE, relaxed)
data_TiTlAg
_chemical_formula_sum 'Ti2 Tl2 Ag2'
_cell_length_a 3.116
_cell_length_b 3.123
_cell_length_c 15.144
_cell_angle_alpha 90.21
_cell_angle_beta 95.65
_cell_angle_gamma 119.64
_symmetry_space_group_name_H-M 'P 1'
_symmetry_Int_Tables_number 1
loop_
_symmetry_equiv_pos_as_xyz
'x,y,z'
loop_
_atom_site_label
_atom_site_type_symbol
_atom_site_fract_x
_atom_site_fract_y
_atom_site_fract_z
_atom_site_occupancy
Ti1 Ti 0.000 0.000 0.000 1
Ti2 Ti 0.242 0.617 0.859 1
Tl1 Tl 0.446 0.720 0.170 1
Tl2 Tl 0.926 0.472 0.377 1
Ag1 Ag 0.376 0.193 0.556 1
Ag2 Ag 0.809 0.907 0.709 1
# Theoretical density: 9.40 g/cm3
# Raw total energy: -4.2048 eV/atom

[5]
# TiTlAg (GGA-PBE, relaxed)
data_TiTlAg
_chemical_formula_sum 'Ti2 Tl2 Ag2'
_cell_length_a 3.157
_cell_length_b 4.831
_cell_length_c 7.897
_cell_angle_alpha 90.00
_cell_angle_beta 101.48
_cell_angle_gamma 90.00
_symmetry_space_group_name_H-M 'P 1 21/m 1'
_symmetry_Int_Tables_number 11
loop_
_symmetry_equiv_pos_as_xyz
'x,y,z'
'-x,-y,-z'
'-x,y+1/2,-z'
'x,-y+1/2,z'
loop_
_atom_site_label
_atom_site_type_symbol
_atom_site_fract_x
_atom_site_fract_y
_atom_site_fract_z
_atom_site_occupancy
Ti1 Ti 0.057 0.250 0.111 1
Tl1 Tl 0.392 0.250 0.782 1
Ag1 Ag 0.280 0.750 0.561 1
# Theoretical density: 10.13 g/cm3
# Raw total energy: -4.2396 eV/atom

[6]
# Ti2TlAg2 (GGA-PBE, relaxed)
data_Ti2TlAg2
_chemical_formula_sum 'Ti4 Tl2 Ag4'
_cell_length_a 7.689
_cell_length_b 7.689
_cell_length_c 3.222
_cell_angle_alpha 90.00
_cell_angle_beta 90.00
_cell_angle_gamma 90.00
_symmetry_space_group_name_H-M 'P 4/m b m'
_symmetry_Int_Tables_number 127
_symmetry_space_group_name_Hall '-P 4 2ab'
loop_
_atom_site_label
_atom_site_type_symbol
_atom_site_fract_x
_atom_site_fract_y
_atom_site_fract_z
_atom_site_occupancy
Ti1 Ti 0.168 0.332 0.000 1
Tl1 Tl 0.000 0.000 0.500 1
Ag1 Ag 0.127 0.627 0.500 1
# Theoretical density: 8.99 g/cm3
# Raw total energy: -4.5655 eV/atom
# Relative energy among the computed polymorphs: 0.0 meV/atom

[7]
# Ti2Tl2Ag (GGA-PBE, relaxed)
data_Ti2Tl2Ag
_chemical_formula_sum 'Ti4 Tl4 Ag2'
_cell_length_a 7.635
_cell_length_b 7.635
_cell_length_c 3.559
_cell_angle_alpha 90.00
_cell_angle_beta 90.00
_cell_angle_gamma 90.00
_symmetry_space_group_name_H-M 'P 4/m b m'
_symmetry_Int_Tables_number 127
_symmetry_space_group_name_Hall '-P 4 2ab'
loop_
_atom_site_label
_atom_site_type_symbol
_atom_site_fract_x
_atom_site_fract_y
_atom_site_fract_z
_atom_site_occupancy
Ti1 Ti 0.168 0.332 0.000 1
Tl1 Tl 0.137 0.637 0.500 1
Ag1 Ag 0.000 0.000 0.500 1
# Theoretical density: 9.80 g/cm3
# Raw total energy: -4.3539 eV/atom

[8]
# TiTlAg (GGA-PBE, relaxed)
data_TiTlAg
_chemical_formula_sum 'Ti4 Tl4 Ag4'
_cell_length_a 4.981
_cell_length_b 3.214
_cell_length_c 14.833
_cell_angle_alpha 90.00
_cell_angle_beta 90.00
_cell_angle_gamma 90.00
_symmetry_space_group_name_H-M 'A m m 2'
_symmetry_Int_Tables_number 38
loop_
_symmetry_equiv_pos_as_xyz
'x,y,z'
'-x,-y,z'
'-x,y,z'
'x,-y,z'
'x,y+1/2,z+1/2'
'-x,-y+1/2,z+1/2'
'-x,y+1/2,z+1/2'
'x,-y+1/2,z+1/2'
loop_
_atom_site_label
_atom_site_type_symbol
_atom_site_fract_x
_atom_site_fract_y
_atom_site_fract_z
_atom_site_occupancy
Ti1 Ti 0.000 0.000 0.000 1
Ti2 Ti 0.000 0.000 0.347 1
Tl1 Tl 0.000 0.000 0.671 1
Tl2 Tl 0.500 0.000 0.879 1
Ag1 Ag 0.500 0.000 0.209 1
Ag2 Ag 0.500 0.000 0.545 1
# Theoretical density: 10.07 g/cm3
# Raw total energy: -4.2319 eV/atom

[9]
# Ti2TlAg (GGA-PBE, relaxed)
data_Ti2TlAg
_chemical_formula_sum 'Ti8 Tl4 Ag4'
_cell_length_a 7.575
_cell_length_b 7.575
_cell_length_c 5.651
_cell_angle_alpha 90.00
_cell_angle_beta 90.00
_cell_angle_gamma 90.00
_symmetry_space_group_name_H-M 'I -4 2 d'
_symmetry_Int_Tables_number 122
_symmetry_space_group_name_Hall 'I -4 2bw'
loop_
_atom_site_label
_atom_site_type_symbol
_atom_site_fract_x
_atom_site_fract_y
_atom_site_fract_z
_atom_site_occupancy
Ti1 Ti 0.236 0.750 0.125 1
Tl1 Tl 0.000 0.000 0.500 1
Ag1 Ag 0.000 0.000 0.000 1
# Theoretical density: 8.36 g/cm3
# Raw total energy: -4.7830 eV/atom

[10]
# TiTlAg (GGA-PBE, relaxed)
data_TiTlAg
_chemical_formula_sum 'Ti2 Tl2 Ag2'
_cell_length_a 3.223
_cell_length_b 6.214
_cell_length_c 6.522
_cell_angle_alpha 107.12
_cell_angle_beta 90.03
_cell_angle_gamma 104.98
_symmetry_space_group_name_H-M 'P -1'
_symmetry_Int_Tables_number 2
loop_
_symmetry_equiv_pos_as_xyz
'x,y,z'
'-x,-y,-z'
loop_
_atom_site_label
_atom_site_type_symbol
_atom_site_fract_x
_atom_site_fract_y
_atom_site_fract_z
_atom_site_occupancy
Ti1 Ti 0.173 0.346 0.070 1
Tl1 Tl 0.153 0.308 0.590 1
Ag1 Ag 0.490 0.980 0.780 1
# Theoretical density: 9.95 g/cm3
# Raw total energy: -4.2204 eV/atom

[11]
# TiTlAg2 (GGA-PBE, relaxed)
data_TiTlAg2
_chemical_formula_sum 'Ti4 Tl4 Ag8'
_cell_length_a 7.738
_cell_length_b 7.738
_cell_length_c 5.712
_cell_angle_alpha 90.00
_cell_angle_beta 90.00
_cell_angle_gamma 90.00
_symmetry_space_group_name_H-M 'I -4 2 d'
_symmetry_Int_Tables_number 122
_symmetry_space_group_name_Hall 'I -4 2bw'
loop_
_atom_site_label
_atom_site_type_symbol
_atom_site_fract_x
_atom_site_fract_y
_atom_site_fract_z
_atom_site_occupancy
Ti1 Ti 0.000 0.000 0.000 1
Tl1 Tl 0.000 0.000 0.500 1
Ag1 Ag 0.234 0.250 0.125 1
# Theoretical density: 9.09 g/cm3
# Raw total energy: -3.5529 eV/atom

[12]
# TiTl2Ag2 (GGA-PBE, relaxed)
data_TiTl2Ag2
_chemical_formula_sum 'Ti2 Tl4 Ag4'
_cell_length_a 7.891
_cell_length_b 7.891
_cell_length_c 3.539
_cell_angle_alpha 90.00
_cell_angle_beta 90.00
_cell_angle_gamma 90.00
_symmetry_space_group_name_H-M 'P 4/m b m'
_symmetry_Int_Tables_number 127
_symmetry_space_group_name_Hall '-P 4 2ab'
loop_
_atom_site_label
_atom_site_type_symbol
_atom_site_fract_x
_atom_site_fract_y
_atom_site_fract_z
_atom_site_occupancy
Ti1 Ti 0.000 0.000 0.000 1
Tl1 Tl 0.178 0.322 0.500 1
Ag1 Ag 0.125 0.625 0.000 1
# Theoretical density: 10.13 g/cm3
# Raw total energy: -3.3045 eV/atom

[13]
# TiTlAg (GGA-PBE, relaxed)
data_TiTlAg
_chemical_formula_sum 'Ti2 Tl2 Ag2'
_cell_length_a 3.074
_cell_length_b 5.891
_cell_length_c 7.051
_cell_angle_alpha 96.83
_cell_angle_beta 90.04
_cell_angle_gamma 105.09
_symmetry_space_group_name_H-M 'P 1'
_symmetry_Int_Tables_number 1
loop_
_symmetry_equiv_pos_as_xyz
'x,y,z'
loop_
_atom_site_label
_atom_site_type_symbol
_atom_site_fract_x
_atom_site_fract_y
_atom_site_fract_z
_atom_site_occupancy
Ti1 Ti 0.000 0.000 0.000 1
Ti2 Ti 0.430 0.859 0.291 1
Tl1 Tl 0.585 0.173 0.663 1
Tl2 Tl 0.689 0.374 0.257 1
Ag1 Ag 0.281 0.561 0.931 1
Ag2 Ag 0.851 0.703 0.614 1
# Theoretical density: 9.78 g/cm3
# Raw total energy: -4.2002 eV/atom

[14]
# TiTlAg (GGA-PBE, relaxed)
data_TiTlAg
_chemical_formula_sum 'Ti2 Tl2 Ag2'
_cell_length_a 3.095
_cell_length_b 5.261
_cell_length_c 7.883
_cell_angle_alpha 78.40
_cell_angle_beta 78.95
_cell_angle_gamma 73.57
_symmetry_space_group_name_H-M 'P -1'
_symmetry_Int_Tables_number 2
loop_
_symmetry_equiv_pos_as_xyz
'x,y,z'
'-x,-y,-z'
loop_
_atom_site_label
_atom_site_type_symbol
_atom_site_fract_x
_atom_site_fract_y
_atom_site_fract_z
_atom_site_occupancy
Ti1 Ti 0.174 0.003 0.150 1
Tl1 Tl 0.500 0.000 0.500 1
Tl2 Tl 0.500 0.500 0.000 1
Ag1 Ag 0.176 0.483 0.667 1
# Theoretical density: 10.02 g/cm3
# Raw total energy: -4.2237 eV/atom